## BaLa2Eu (PBE)

Data for a relaxed structure of BaLa2Eu.

Unit cell a=3.882 b=3.882 c=38.841 alpha=90.00 beta=90.00 gamma=120.00
Atoms (fractional coordinates):
Ba 0.000 0.000 0.000
Ba 0.333 0.667 0.667
Ba 0.667 0.333 0.333
La 0.000 0.000 0.245
La 0.000 0.000 0.755
La 0.333 0.667 0.421
La 0.333 0.667 0.912
La 0.667 0.333 0.088
La 0.667 0.333 0.579
Eu 0.000 0.000 0.500
Eu 0.333 0.667 0.167
Eu 0.667 0.333 0.833

Computed properties:
excess energy over the best structure of this formula in the dataset: 0.000 eV per atom
symmetry: No. 166
DFT total energy: -5.39 eV/atom